Entry 1:
VASP calculation (PBE) on a relaxed structure of AlAsRh.

The structure in POSCAR format:
```
AlAsRh
1.0
4.1750 0.0000 0.0000
2.0875 3.6157 0.0000
2.0875 1.2052 3.4089
As Rh Al
1 1 1
Direct
0.0000 0.0000 0.0000
0.5000 0.5000 0.5000
0.7500 0.7500 0.7500
```

Formation energy from the elements   -177 meV/atom
Electronic total energy   -16.28 eV for the cell shown

Entry 2:
VASP calculation (PBE) on a relaxed structure of BaSc3.

The structure in POSCAR format:
```
BaSc3
1.0
7.0683 0.0000 0.0000
0.0000 6.0775 0.0000
0.0000 0.0000 11.1701
Sc Ba
12 4
Direct
0.1403 0.9117 0.7500
0.6403 0.5883 0.2500
0.3597 0.4117 0.7500
0.8597 0.0883 0.2500
0.6256 0.2720 0.0135
0.1256 0.2280 0.9865
0.8744 0.7720 0.4865
0.3744 0.7280 0.5135
0.3744 0.7280 0.9865
0.8744 0.7720 0.0135
0.1256 0.2280 0.5135
0.6256 0.2720 0.4865
0.6243 0.9304 0.7500
0.1243 0.5696 0.2500
0.8757 0.4304 0.7500
0.3757 0.0696 0.2500
```

Energy relative to the lowest polymorph listed for this composition   109 meV/atom
Formation energy from the elements   343 meV/atom
Electronic total energy   -78.17 eV for the cell shown

Entry 3:
VASP calculation (PBE) on a relaxed structure of ZrPaI5.

The structure in POSCAR format:
```
ZrPaI5
1.0
-1.4084 2.0757 2.9291
-5.1642 -7.3953 2.7575
11.5867 -4.7596 8.9442
Zr Pa I
2 2 10
Direct
0.2500 0.3297 0.3098
0.7500 0.6703 0.6902
0.7500 0.0874 0.1284
0.2500 0.9126 0.8716
0.2500 0.0196 0.2858
0.7500 0.1677 0.9260
0.7500 0.2618 0.4479
0.2500 0.3477 0.1180
0.2500 0.4354 0.7073
0.7500 0.5646 0.2927
0.7500 0.6523 0.8820
0.2500 0.7382 0.5521
0.2500 0.8323 0.0740
0.7500 0.9804 0.7142
```

Electronic total energy   -63.00 eV for the cell shown